DFT (GGA-PBE) results for an optimized crystal structure of Ca12As5N2.

Geometry as extended XYZ:
```
19
Lattice="8.079 -3.714 0.000 8.079 3.714 0.000 -2.620 0.000 8.809" Properties=species:S:1:pos:R:3 pbc="T T T"
Ca -0.457 0.000 1.591
Ca 3.085 1.904 8.087
Ca 4.525 1.854 3.762
Ca 9.012 1.854 5.047
Ca 10.452 1.904 0.722
Ca 7.576 0.000 1.532
Ca 5.961 0.000 7.277
Ca 3.085 -1.904 8.087
Ca 4.525 -1.854 3.762
Ca 9.012 -1.854 5.047
Ca 10.452 -1.904 0.722
Ca 13.994 0.000 7.218
As 0.811 0.000 7.386
As 2.181 0.000 3.073
As 6.768 0.000 4.404
As 11.356 0.000 5.736
As 12.726 0.000 1.423
N 8.079 1.828 0.000
N 8.079 -1.828 0.000
```

Output
* energy relative to the elements, uncorrected: -0.969 eV per atom